SrHf2Ir2 | the Alexandria database | PBE-GGA | relaxed; SG = P4/mbm (127); formation enthalpy at 0 K = -523 meV/atom; offset from the most stable computed form = 221 meV per atom; V = 20.35 A^3/atom
1.0
8.1784 0.0000 0.0000
0.0000 8.1784 0.0000
0.0000 0.0000 3.0424
Sr Hf Ir
2 4 4
Direct
0.0000 0.0000 0.0000
0.5000 0.5000 0.0000
0.1395 0.3605 0.0000
0.3605 0.8605 0.0000
0.6395 0.1395 0.0000
0.8605 0.6395 0.0000
0.1500 0.6500 0.5000
0.3500 0.1500 0.5000
0.6500 0.8500 0.5000
0.8500 0.3500 0.5000